Record 1
Entry from Alexandria: a geometry-optimized Pr2InPd3 structure (PBE-GGA).

```
data_Pr2InPd3
_symmetry_space_group_name_H-M 'P 63/m m c'
_symmetry_Int_Tables_number 194
_symmetry_space_group_name_Hall '-P 6c 2c'
_cell_length_a 4.6589
_cell_length_b 4.6589
_cell_length_c 15.0209
_cell_angle_alpha 90.00
_cell_angle_beta 90.00
_cell_angle_gamma 120.00
loop_
_atom_site_label
_atom_site_type_symbol
_atom_site_fract_x
_atom_site_fract_y
_atom_site_fract_z
Pr1 Pr 0.0000 0.0000 0.1177
In1 In 0.3333 0.6667 0.2500
Pd1 Pd 0.3333 0.6667 0.0141
Pd2 Pd 0.3333 0.6667 0.7500
```

Results
formation energy from the elements	-0.669	eV/atom

---

Record 2
Entry from Alexandria: a geometry-optimized NdPuRhBr structure (PBE-GGA).

```
data_NdPuRhBr
_symmetry_space_group_name_H-M 'R 3 m'
_symmetry_Int_Tables_number 160
_symmetry_space_group_name_Hall 'R 3 -2"'
_cell_length_a 3.9934
_cell_length_b 3.9934
_cell_length_c 23.9437
_cell_angle_alpha 90.00
_cell_angle_beta 90.00
_cell_angle_gamma 120.00
loop_
_atom_site_label
_atom_site_type_symbol
_atom_site_fract_x
_atom_site_fract_y
_atom_site_fract_z
Nd1 Nd 0.0000 0.0000 0.0000
Pu1 Pu 0.0000 0.0000 0.8000
Rh1 Rh 0.0000 0.0000 0.4052
Br1 Br 0.0000 0.0000 0.2357
```

Results
formation energy without anion corrections	-0.841	eV/atom

---

Record 3
Entry from Alexandria: a geometry-optimized Cd3TcTe structure (PBE-GGA).

```
data_Cd3TcTe
_symmetry_space_group_name_H-M 'P m -3 m'
_symmetry_Int_Tables_number 221
_symmetry_space_group_name_Hall '-P 4 2 3'
_cell_length_a 5.3182
_cell_length_b 5.3182
_cell_length_c 5.3182
_cell_angle_alpha 90.00
_cell_angle_beta 90.00
_cell_angle_gamma 90.00
loop_
_atom_site_label
_atom_site_type_symbol
_atom_site_fract_x
_atom_site_fract_y
_atom_site_fract_z
Cd1 Cd 0.0000 0.0000 0.5000
Tc1 Tc 0.0000 0.0000 0.0000
Te1 Te 0.5000 0.5000 0.5000
```

Results
ΔE to the lowest computed polymorph	0.0	meV per atom
formation energy without anion corrections	0.813	eV/atom

---

Record 4
Entry from Alexandria: a geometry-optimized CaP2W structure (PBE-GGA).

```
data_CaP2W
_symmetry_space_group_name_H-M 'F -4 3 m'
_symmetry_Int_Tables_number 216
_symmetry_space_group_name_Hall 'F -4 2 3'
_cell_length_a 6.4630
_cell_length_b 6.4630
_cell_length_c 6.4630
_cell_angle_alpha 90.00
_cell_angle_beta 90.00
_cell_angle_gamma 90.00
loop_
_atom_site_label
_atom_site_type_symbol
_atom_site_fract_x
_atom_site_fract_y
_atom_site_fract_z
Ca1 Ca 0.0000 0.0000 0.0000
P1 P 0.0000 0.0000 0.5000
P2 P 0.2500 0.2500 0.7500
W1 W 0.2500 0.2500 0.2500
```

Results
ΔE to the lowest computed polymorph	1299.6	meV per atom
formation energy from the elements	0.738	eV/atom

---

Record 5
Entry from Alexandria: a geometry-optimized Na4HgAu2 structure (PBE-GGA).

```
data_Na4HgAu2
_symmetry_space_group_name_H-M 'P 1 21/m 1'
_symmetry_Int_Tables_number 11
_cell_length_a 8.0539
_cell_length_b 6.0805
_cell_length_c 8.0680
_cell_angle_alpha 90.00
_cell_angle_beta 116.17
_cell_angle_gamma 90.00
loop_
_symmetry_equiv_pos_as_xyz
'x,y,z'
'-x,-y,-z'
'-x,y+1/2,-z'
'x,-y+1/2,z'
loop_
_atom_site_label
_atom_site_type_symbol
_atom_site_fract_x
_atom_site_fract_y
_atom_site_fract_z
Na1 Na 0.0701 0.2500 0.0707
Na2 Na 0.2050 0.9999 0.7059
Na3 Na 0.4243 0.2500 0.4282
Hg1 Hg 0.3610 0.7500 0.1415
Au1 Au 0.1505 0.7500 0.3521
Au2 Au 0.4327 0.2500 0.0677
```

Results
ΔE to the lowest computed polymorph	53.4	meV per atom
formation energy from the elements	-0.204	eV/atom

---

Record 6
Entry from Alexandria: a geometry-optimized SrMg8Al4 structure (PBE-GGA).

```
data_SrMg8Al4
_symmetry_space_group_name_H-M 'I 4/m m m'
_symmetry_Int_Tables_number 139
_symmetry_space_group_name_Hall '-I 4 2'
_cell_length_a 10.0882
_cell_length_b 10.0882
_cell_length_c 5.6973
_cell_angle_alpha 90.00
_cell_angle_beta 90.00
_cell_angle_gamma 90.00
loop_
_atom_site_label
_atom_site_type_symbol
_atom_site_fract_x
_atom_site_fract_y
_atom_site_fract_z
Sr1 Sr 0.0000 0.0000 0.0000
Mg1 Mg 0.0000 0.2176 0.5000
Mg2 Mg 0.0000 0.3518 0.0000
Al1 Al 0.2500 0.2500 0.2500
```

Results
formation energy from the elements	-0.083	eV/atom

---

Record 7
Entry from Alexandria: a geometry-optimized ZrFe3Tc structure (PBE-GGA).

```
data_ZrFe3Tc
_symmetry_space_group_name_H-M 'P m -3 m'
_symmetry_Int_Tables_number 221
_symmetry_space_group_name_Hall '-P 4 2 3'
_cell_length_a 4.3962
_cell_length_b 4.3962
_cell_length_c 4.3962
_cell_angle_alpha 90.00
_cell_angle_beta 90.00
_cell_angle_gamma 90.00
loop_
_atom_site_label
_atom_site_type_symbol
_atom_site_fract_x
_atom_site_fract_y
_atom_site_fract_z
Zr1 Zr 0.0000 0.0000 0.0000
Fe1 Fe 0.0000 0.5000 0.5000
Tc1 Tc 0.5000 0.5000 0.5000
```

Results
ΔE to the lowest computed polymorph	0.0	meV per atom
formation energy from the elements	0.958	eV/atom

---

Record 8
Entry from Alexandria: a geometry-optimized CaLaHg2 structure (PBE-GGA).

```
data_CaLaHg2
_symmetry_space_group_name_H-M 'A m m 2'
_symmetry_Int_Tables_number 38
_cell_length_a 5.0751
_cell_length_b 3.9554
_cell_length_c 11.8874
_cell_angle_alpha 90.00
_cell_angle_beta 90.00
_cell_angle_gamma 90.00
loop_
_symmetry_equiv_pos_as_xyz
'x,y,z'
'-x,-y,z'
'-x,y,z'
'x,-y,z'
'x,y+1/2,z+1/2'
'-x,-y+1/2,z+1/2'
'-x,y+1/2,z+1/2'
'x,-y+1/2,z+1/2'
loop_
_atom_site_label
_atom_site_type_symbol
_atom_site_fract_x
_atom_site_fract_y
_atom_site_fract_z
Ca1 Ca 0.0000 0.0000 0.0000
La1 La 0.5000 0.0000 0.2809
Hg1 Hg 0.0000 0.0000 0.7235
Hg2 Hg 0.5000 0.0000 0.5543
```

Results
ΔE to the lowest computed polymorph	71.8	meV per atom
formation energy from the elements	-0.496	eV/atom

---

Record 9
Entry from Alexandria: a geometry-optimized SrSi2Pb2 structure (PBE-GGA).

```
data_SrSi2Pb2
_symmetry_space_group_name_H-M 'P 4/m b m'
_symmetry_Int_Tables_number 127
_symmetry_space_group_name_Hall '-P 4 2ab'
_cell_length_a 8.0260
_cell_length_b 8.0260
_cell_length_c 4.2390
_cell_angle_alpha 90.00
_cell_angle_beta 90.00
_cell_angle_gamma 90.00
loop_
_atom_site_label
_atom_site_type_symbol
_atom_site_fract_x
_atom_site_fract_y
_atom_site_fract_z
Sr1 Sr 0.0000 0.0000 0.0000
Si1 Si 0.1052 0.3948 0.0000
Pb1 Pb 0.1643 0.6643 0.5000
```

Results
ΔE to the lowest computed polymorph	9.6	meV per atom
formation energy without anion corrections	-0.009	eV/atom

---

Record 10
Entry from Alexandria: a geometry-optimized CeYNiHg structure (PBE-GGA).

```
data_CeYNiHg
_symmetry_space_group_name_H-M 'F -4 3 m'
_symmetry_Int_Tables_number 216
_symmetry_space_group_name_Hall 'F -4 2 3'
_cell_length_a 7.2418
_cell_length_b 7.2418
_cell_length_c 7.2418
_cell_angle_alpha 90.00
_cell_angle_beta 90.00
_cell_angle_gamma 90.00
loop_
_atom_site_label
_atom_site_type_symbol
_atom_site_fract_x
_atom_site_fract_y
_atom_site_fract_z
Ce1 Ce 0.0000 0.0000 0.0000
Y1 Y 0.0000 0.0000 0.5000
Ni1 Ni 0.2500 0.2500 0.7500
Hg1 Hg 0.2500 0.2500 0.2500
```

Results
formation energy from the elements	-0.238	eV/atom

---

Record 11
Entry from Alexandria: a geometry-optimized YBeCu2Rh structure (PBE-GGA).

```
data_YBeCu2Rh
_symmetry_space_group_name_H-M 'P 4/m m m'
_symmetry_Int_Tables_number 123
_symmetry_space_group_name_Hall '-P 4 2'
_cell_length_a 4.9756
_cell_length_b 4.9756
_cell_length_c 4.8553
_cell_angle_alpha 90.00
_cell_angle_beta 90.00
_cell_angle_gamma 90.00
loop_
_atom_site_label
_atom_site_type_symbol
_atom_site_fract_x
_atom_site_fract_y
_atom_site_fract_z
Y1 Y 0.0000 0.0000 0.0000
Be1 Be 0.5000 0.5000 0.5000
Cu1 Cu 0.0000 0.5000 0.0000
Rh1 Rh 0.0000 0.0000 0.5000
```

Results
ΔE to the lowest computed polymorph	1781.5	meV per atom
formation energy from the elements	1.549	eV/atom

---

Record 12
Entry from Alexandria: a geometry-optimized LiScRe2 structure (PBE-GGA).

```
data_LiScRe2
_symmetry_space_group_name_H-M 'P 1 m 1'
_symmetry_Int_Tables_number 6
_cell_length_a 2.7801
_cell_length_b 4.3690
_cell_length_c 5.3899
_cell_angle_alpha 90.00
_cell_angle_beta 100.46
_cell_angle_gamma 90.00
loop_
_symmetry_equiv_pos_as_xyz
'x,y,z'
'x,-y,z'
loop_
_atom_site_label
_atom_site_type_symbol
_atom_site_fract_x
_atom_site_fract_y
_atom_site_fract_z
Li1 Li 0.0000 0.0000 0.0000
Sc1 Sc 0.2974 0.5000 0.7589
Re1 Re 0.5790 0.0000 0.4586
Re2 Re 0.8355 0.5000 0.2805
```

Results
ΔE to the lowest computed polymorph	139.9	meV per atom
formation energy from the elements	0.120	eV/atom

---

no.,total magnetization (μB/f.u.),D(E_F) (states/eV/f.u.),total energy (eV per atom)
1,0.00,2.684,-5.315
2,5.25,11.829,-7.872
3,2.96,3.490,-2.438
4,1.32,3.054,-5.706
5,0.00,2.284,-1.938
6,0.00,4.477,-2.345
7,3.48,5.286,-7.902
8,0.00,3.526,-2.379
9,0.00,1.148,-3.998
10,0.68,8.108,-4.858
11,0.00,3.063,-3.598
12,0.00,3.269,-8.166